A relaxed structure of Ca6GePb3. Source: the Alexandria database, functional PBE-GGA.

Lattice parameters (Å, degrees): 9.4095 12.5466 5.2999 90.00 90.00 90.00
Element x y z (fractional)
Ca 0.0314 0.2386 0.0000
Ca 0.1568 0.0824 0.5000
Ca 0.1977 0.4120 0.5000
Ca 0.3023 0.9120 0.0000
Ca 0.3432 0.5824 0.0000
Ca 0.4686 0.7386 0.5000
Ca 0.5314 0.2614 0.5000
Ca 0.6568 0.4176 0.0000
Ca 0.6977 0.0880 0.0000
Ca 0.8023 0.5880 0.5000
Ca 0.8432 0.9176 0.5000
Ca 0.9686 0.7614 0.0000
Ge 0.0000 0.0000 0.0000
Ge 0.5000 0.5000 0.5000
Pb 0.0000 0.5000 0.0000
Pb 0.1300 0.6993 0.5000
Pb 0.3700 0.1993 0.0000
Pb 0.5000 0.0000 0.5000
Pb 0.6300 0.8007 0.0000
Pb 0.8700 0.3007 0.5000

Summary:
Energy of formation from the pure elements: -0.50 eV per atom
Calculated density: 4.96 Mg/m³

***

A relaxed structure of OsPdSN. Source: the Alexandria database, functional PBE-GGA.

Lattice parameters (Å, degrees): 3.6266 3.6266 6.1513 94.99 94.99 45.99
Element x y z (fractional)
Os 0.0000 0.0000 0.0000
Pd 0.2303 0.2303 0.3952
S 0.9770 0.9770 0.6390
N 0.3012 0.3012 0.0630

Summary:
Formation energy from raw total energies: 0.29 eV/atom
Calculated density: 9.82 Mg/m³
Offset from the most stable computed form: 0.43 eV per formula unit

***

A relaxed structure of SnGeTeN2. Source: the Alexandria database, functional PBE-GGA.

Lattice parameters (Å, degrees): 4.1999 4.1999 6.0701 90.00 90.00 90.00
Element x y z (fractional)
Sn 0.0000 0.0000 0.0000
Ge 0.5000 0.5000 0.5000
Te 0.0000 0.0000 0.5000
N 0.0000 0.5000 0.0000
N 0.5000 0.0000 0.0000

Summary:
Formation energy from raw total energies: 1.27 eV/atom
Calculated density: 5.38 Mg/m³
Offset from the most stable computed form: 0.37 eV per formula unit

***

A relaxed structure of V3CuPd. Source: the Alexandria database, functional PBE-GGA.

Lattice parameters (Å, degrees): 4.4139 4.4139 4.4139 90.00 90.00 90.00
Element x y z (fractional)
V 0.0000 0.0000 0.5000
V 0.0000 0.5000 0.0000
V 0.5000 0.0000 0.0000
Cu 0.0000 0.0000 0.0000
Pd 0.5000 0.5000 0.5000

Summary:
Energy of formation from the pure elements: 1.12 eV per atom
Calculated density: 6.23 Mg/m³
Offset from the most stable computed form: 0.00 eV per formula unit

***

A relaxed structure of NaCdIn2Ni. Source: the Alexandria database, functional PBE-GGA.

Lattice parameters (Å, degrees): 4.9523 4.9523 5.0959 90.00 90.00 90.00
Element x y z (fractional)
Na 0.0000 0.0000 0.0000
Cd 0.5000 0.5000 0.0000
In 0.0000 0.5000 0.5000
In 0.5000 0.0000 0.5000
Ni 0.5000 0.5000 0.5000

Summary:
Energy of formation from the pure elements: -0.07 eV per atom
Calculated density: 5.63 Mg/m³
Offset from the most stable computed form: 0.00 eV per formula unit

***

A relaxed structure of Sr5HoIn6. Source: the Alexandria database, functional PBE-GGA.

Lattice parameters (Å, degrees): 9.8341 9.8341 5.7045 106.58 106.58 47.66
Element x y z (fractional)
Sr 0.0000 0.0000 0.0000
Sr 0.1602 0.1602 0.6604
Sr 0.3183 0.3183 0.3180
Sr 0.6817 0.6817 0.6820
Sr 0.8398 0.8398 0.3396
Ho 0.5000 0.5000 0.0000
In 0.1178 0.5675 0.8423
In 0.2876 0.7124 0.5000
In 0.4325 0.8822 0.1577
In 0.5675 0.1178 0.8423
In 0.7124 0.2876 0.5000
In 0.8822 0.4325 0.1577

Summary:
Energy of formation from the pure elements: -0.43 eV per atom
Calculated density: 5.54 Mg/m³

***

A relaxed structure of Ti3Ni2Ir2. Source: the Alexandria database, functional PBE-GGA.

Lattice parameters (Å, degrees): 3.9362 4.5292 6.2422 99.90 90.03 115.72
Element x y z (fractional)
Ti 0.0000 0.0000 0.0000
Ti 0.4026 0.8051 0.2994
Ti 0.5974 0.1949 0.7006
Ni 0.1369 0.2751 0.4337
Ni 0.8631 0.7249 0.5663
Ir 0.3013 0.6025 0.8551
Ir 0.6987 0.3975 0.1449

Summary:
Energy of formation from the pure elements: -0.61 eV per atom
Calculated density: 10.89 Mg/m³

***

A relaxed structure of GeRu2S. Source: the Alexandria database, functional PBE-GGA.

Lattice parameters (Å, degrees): 6.5357 6.5357 6.5357 129.81 129.81 73.71
Element x y z (fractional)
Ge 0.0000 0.0000 0.0000
Ge 0.7500 0.2500 0.5000
Ru 0.1567 0.6250 0.0317
Ru 0.3750 0.4067 0.5317
Ru 0.5933 0.1250 0.9683
Ru 0.8750 0.8433 0.4683
S 0.2500 0.7500 0.5000
S 0.5000 0.5000 0.0000

Summary:
Formation energy from raw total energies: 0.12 eV/atom
Calculated density: 6.34 Mg/m³
Offset from the most stable computed form: 0.02 eV per formula unit

***

A relaxed structure of TaNiHgB2. Source: the Alexandria database, functional PBE-GGA.

Lattice parameters (Å, degrees): 4.1111 4.1111 4.6985 90.00 90.00 90.00
Element x y z (fractional)
Ta 0.0000 0.0000 0.0000
Ni 0.5000 0.5000 0.0000
Hg 0.5000 0.5000 0.5000
B 0.0000 0.5000 0.5000
B 0.5000 0.0000 0.5000

Summary:
Energy of formation from the pure elements: 2.04 eV per atom
Calculated density: 9.66 Mg/m³

***

A relaxed structure of Ba3Na2Li4Tl2. Source: the Alexandria database, functional PBE-GGA.

Lattice parameters (Å, degrees): 5.4876 5.4876 15.1285 90.00 90.00 120.00
Element x y z (fractional)
Ba 0.0000 0.0000 0.0000
Ba 0.0000 0.0000 0.2589
Ba 0.0000 0.0000 0.7411
Na 0.3333 0.6667 0.5657
Na 0.6667 0.3333 0.4343
Li 0.3333 0.6667 0.3547
Li 0.3333 0.6667 0.8601
Li 0.6667 0.3333 0.1399
Li 0.6667 0.3333 0.6453
Tl 0.3333 0.6667 0.1486
Tl 0.6667 0.3333 0.8514

Summary:
Energy of formation from the pure elements: -0.08 eV per atom
Calculated density: 3.76 Mg/m³

***

A relaxed structure of Th2SnN2. Source: the Alexandria database, functional PBE-GGA.

Lattice parameters (Å, degrees): 3.7918 3.7918 7.6642 90.00 90.00 90.00
Element x y z (fractional)
Th 0.0000 0.0000 0.1979
Th 0.0000 0.0000 0.8021
Sn 0.5000 0.5000 0.5000
N 0.0000 0.5000 0.0000
N 0.5000 0.0000 0.0000

Summary:
Formation energy from raw total energies: -0.67 eV/atom
Calculated density: 9.20 Mg/m³

***

A relaxed structure of PrSmErTm. Source: the Alexandria database, functional PBE-GGA.

Lattice parameters (Å, degrees): 6.8627 6.8627 3.7885 105.54 105.54 50.48
Element x y z (fractional)
Pr 0.0000 0.0000 0.0000
Sm 0.2691 0.2691 0.8133
Er 0.5160 0.5160 0.5333
Tm 0.7512 0.7512 0.2826

Summary:
Energy of formation from the pure elements: 0.11 eV per atom
Calculated density: 7.93 Mg/m³
Offset from the most stable computed form: 0.02 eV per formula unit